First-principles (PBE with a Hubbard U) data for crystalline Cs2FeHF6 at its relaxed geometry, as listed in the Alexandria database.

Cell lengths 6.8578, 6.8582, 6.2529 Å; angles 123.30, 123.31, 89.99 degrees
Each line ends with the local moment (μB).
Sites, in units of the cell vectors:
H 0.4860 0.4864 0.9714  0.00
F 0.2953 0.2959 0.5908  0.08
Cs 0.2622 0.7632 0.5252  0.00
F 0.1992 0.8199 0.0187  -0.02
Fe 0.0445 0.0450 0.0892  2.93
F 0.1993 0.1998 0.0191  -0.02
F 0.6114 0.6117 0.2218  0.00
F 0.8193 0.1996 0.0185  -0.02
Cs 0.7627 0.2629 0.5252  0.00
F 0.8191 0.8197 0.0181  -0.02

Computed properties:
space group: I4mm
calculated volume: 185.4 Å³ per cell
total energy: -4.54 eV per atom